(1)
Density functional theory data (GGA-PBE) for Pa2BOs5 after structural relaxation.

a b c (Å): 5.7513 5.7513 5.8018
angles (deg): 119.71 119.71 90.00
Last column: nearest neighbours and their distance in Å.
Fractional positions:
1 Os 0.2568 0.7412 0.9980  1 B 2.12
2 Os 0.7412 0.2568 0.9980  1 B 2.12
3 Os 0.2568 0.2568 0.9980  1 B 2.12
4 Os 0.7510 0.7510 0.5020  1 B 2.34
5 Os 0.7412 0.7412 0.9980  1 B 2.12
6 B 0.0337 0.0337 0.0673  5 Os 2.12-2.34
7 Pa 0.7481 0.2481 0.4963  10 Os 2.88-2.91
8 Pa 0.2481 0.7481 0.4963  10 Os 2.88-2.91

Properties
The total energy is -10.48 eV per atom. The magnetization is 0.000 μB/atom. The formation energy is -255 meV/atom.

---

(2)
Density functional theory data (GGA-PBE) for ZnCuPt2 after structural relaxation.

a b c (Å): 4.5182 4.5182 2.8557
angles (deg): 90.00 90.00 101.85
Last column: nearest neighbours and their distance in Å.
Fractional positions:
1 Pt 0.5000 0.5000 0.0000  4 Zn 2.67, 4 Cu 2.67, 4 Pt 2.85-2.86
2 Pt 0.0000 0.0000 0.0000  4 Cu 2.67, 4 Zn 2.67, 4 Pt 2.85-2.86
3 Zn 0.5000 0.0000 0.5000  8 Pt 2.67, 2 Cu 2.85, 2 Zn 2.86
4 Cu 0.0000 0.5000 0.5000  8 Pt 2.67, 2 Zn 2.85, 2 Cu 2.86

Properties
The total energy is -4.74 eV per atom. The magnetization is 0.000 μB/atom. The formation energy is -378 meV/atom.

---

(3)
Density functional theory data (GGA-PBE) for ZrCoSi after structural relaxation.

a b c (Å): 4.0404 4.0404 3.2344
angles (deg): 90.00 90.00 120.00
Last column: nearest neighbours and their distance in Å.
Fractional positions:
1 Co 0.0000 0.0000 0.1667  3 Si 2.33
2 Si 0.6667 0.3333 0.1666  3 Co 2.33
3 Zr 0.3333 0.6667 0.6667  6 Si 2.84, 6 Co 2.84

Properties
The total energy is -7.73 eV per atom. Its raw formation energy is -0.71 eV per atom. The magnetization is 0.233 μB/atom.

---

(4)
Density functional theory data (GGA-PBE) for BaGdInGa after structural relaxation.

a b c (Å): 5.5910 5.5910 5.5910
angles (deg): 60.00 60.00 60.00
Last column: nearest neighbours and their distance in Å.
Fractional positions:
1 Ga 0.2500 0.2500 0.2500  4 Gd 3.42, 4 Ba 3.42
2 In 0.7500 0.7500 0.7500  4 Ba 3.42, 4 Gd 3.42
3 Gd 0.5000 0.5000 0.5000  4 In 3.42, 4 Ga 3.42
4 Ba 0.0000 0.0000 0.0000  4 In 3.42, 4 Ga 3.42

Properties
The total energy is -5.74 eV per atom. The magnetization is 1.871 μB/atom. The formation energy is -300 meV/atom.

---

(5)
Density functional theory data (GGA-PBE) for FeReRu after structural relaxation.

a b c (Å): 5.8715 5.8715 5.8715
angles (deg): 153.61 153.61 37.67
Last column: nearest neighbours and their distance in Å.
Fractional positions:
1 Ru 0.6613 0.6613 0.0000  4 Fe 2.61, 4 Ru 2.68, 4 Re 2.74
2 Re 0.3387 0.3387 0.0000  4 Fe 2.61, 4 Re 2.68, 4 Ru 2.74
3 Fe 0.0000 0.0000 0.0000  4 Ru 2.61, 4 Re 2.61, 4 Fe 2.68

Properties
The offset from the most stable computed form comes out at 0.0437 eV/atom. The total energy is -9.95 eV per atom. The magnetization is 0.399 μB/atom. The formation energy is 114 meV/atom.

---

(6)
Density functional theory data (GGA-PBE) for LaPr8Y4 after structural relaxation.

a b c (Å): 7.4901 7.4879 10.4265
angles (deg): 90.00 111.10 119.99
Last column: nearest neighbours and their distance in Å.
Fractional positions:
1 Pr 0.5002 0.2501 0.2993  1 La 3.04, 2 Pr 3.38
2 Pr 0.4998 0.7499 0.7007  1 La 3.04, 2 Pr 3.38
3 Pr 0.9511 0.7498 0.7008  1 La 3.04, 2 Pr 3.38
4 Pr 0.0489 0.2502 0.2992  1 La 3.04, 2 Pr 3.38
5 Pr 0.4357 0.2179 0.6537  9 Pr 3.78-3.89, 3 Y 3.93
6 Pr 0.9511 0.2012 0.7008  1 La 3.04, 2 Pr 3.38
7 Pr 0.0489 0.7988 0.2992  1 La 3.04, 2 Pr 3.38
8 Pr 0.5643 0.7821 0.3463  9 Pr 3.78-3.89, 3 Y 3.93
9 Y 0.5000 0.0000 0.0000  6 Pr 3.63-3.93, 6 Y 3.74-3.75
10 Y 0.0000 0.5000 0.0000  6 Pr 3.64-3.93, 6 Y 3.74-3.75
11 Y 0.0000 0.0000 0.0000  6 Pr 3.44, 6 Y 3.74-3.75
12 Y 0.5000 0.5000 0.0000  6 Pr 3.63-3.93, 6 Y 3.74-3.75
13 La 0.0000 0.5000 0.5000  6 Pr 3.04

Properties
The total energy is -5.15 eV per atom. The magnetization is 0.000 μB/atom. The formation energy is 156 meV/atom.

---

(7)
Density functional theory data (GGA-PBE) for YCuIrF2 after structural relaxation.

a b c (Å): 4.2386 4.8747 4.2386
angles (deg): 90.00 90.00 90.00
Last column: nearest neighbours and their distance in Å.
Fractional positions:
1 Y 0.5000 0.5000 0.5000  4 Cu 3.00, 8 F 3.23
2 F 0.0000 0.0000 0.5000  2 Ir 2.12
3 F 0.5000 0.0000 0.0000  2 Ir 2.12
4 Ir 0.0000 0.0000 0.0000  4 F 2.12
5 Cu 0.0000 0.5000 0.0000  2 Ir 2.44

Properties
The total energy is -5.14 eV per atom. Its raw formation energy is -0.51 eV per atom. The magnetization is 0.000 μB/atom.

---

(8)
Density functional theory data (GGA-PBE) for Pr3SmZn8 after structural relaxation.

a b c (Å): 5.7170 5.7170 8.7633
angles (deg): 90.00 90.00 120.00
Last column: nearest neighbours and their distance in Å.
Fractional positions:
1 Pr 0.6667 0.3333 0.4490  12 Zn 3.12-3.34, 3 Sm 3.42, 1 Pr 3.49
2 Pr 0.0000 0.0000 0.9463  12 Zn 3.15-3.34, 3 Pr 3.42, 1 Sm 3.45
3 Pr 0.6667 0.3333 0.0505  12 Zn 3.14-3.36, 4 Pr 3.42-3.49
4 Zn 0.0083 0.5041 0.7487  6 Zn 2.72-2.93
5 Zn 0.4959 0.5041 0.7487  6 Zn 2.72-2.93
6 Zn 0.3333 0.6667 0.4985  6 Zn 2.71-2.72
7 Zn 0.1685 0.8315 0.2517  6 Zn 2.71-2.89
8 Zn 0.4959 0.9917 0.7487  6 Zn 2.72-2.93
9 Zn 0.6630 0.8315 0.2517  6 Zn 2.71-2.89
10 Zn 0.1685 0.3370 0.2517  6 Zn 2.71-2.89
11 Zn 0.3333 0.6667 0.0017  6 Zn 2.73-2.74
12 Sm 0.0000 0.0000 0.5529  12 Zn 3.12-3.33, 4 Pr 3.42-3.45

Properties
The offset from the most stable computed form comes out at 0.0187 eV/atom. The total energy is -2.73 eV per atom. The magnetization is 0.000 μB/atom. The formation energy is -297 meV/atom.